# 1
Below is a relaxed structure of ScCuAg3, with properties calculated at the GGA-PBE level.

The density of states at the Fermi level is 0.7400 states/eV/atom. The calculation puts the energy above the most stable polymorph in this dataset at 0.0 kJ/mol of atoms. The calculation puts the energy relative to the elements at 0.405 eV/atom.

The space group is Pm-3m (No. 221) and the conventional cell measures 4.768, 4.768 and 4.768 Å, with angles of 90.00, 90.00 and 90.00 degrees. The distinct sites, in fractional coordinates, are Sc at (0.000, 0.000, 0.000), Cu at (0.500, 0.500, 0.500) and Ag at (0.000, 0.500, 0.500).

---

# 2
Below is a relaxed structure of PmSmCu2, with properties calculated at the GGA-PBE level.

The density of states at the Fermi level is 0.8402 states/eV/atom. The calculation puts the energy above the most stable polymorph in this dataset at 3.0 kJ/mol of atoms. The calculation puts the energy relative to the elements at -0.167 eV/atom.

The space group is Fm-3m (No. 225) and the conventional cell measures 7.112, 7.112 and 7.112 Å, with angles of 90.00, 90.00 and 90.00 degrees. The distinct sites, in fractional coordinates, are Pm at (0.000, 0.000, 0.000), Sm at (0.000, 0.000, 0.500) and Cu at (0.250, 0.250, 0.250).

---

# 3
Below is a relaxed structure of K2RbCu2I6, with properties calculated at the GGA-PBE level.

The density of states at the Fermi level is 0.3950 states/eV/atom. For the formation energy from raw total energies, the calculation gives -0.8324 eV per atom.

The space group is C2/m (No. 12) and the conventional cell measures 12.243, 8.053 and 10.806 Å, with angles of 90.00, 109.94 and 90.00 degrees. The distinct sites, in fractional coordinates, are K at (0.185, 0.000, 0.143), Rb at (0.000, 0.000, 0.500), Cu at (0.031, 0.500, 0.294), I at (0.066, 0.239, 0.824) and I at (0.201, 0.500, 0.502).

---

# 4
Below is a relaxed structure of TmTh3C3, with properties calculated at the GGA-PBE level.

The density of states at the Fermi level is 0.6532 states/eV/atom. The calculation puts the energy above the most stable polymorph in this dataset at 0.0 kJ/mol of atoms. The calculation puts the energy relative to the elements at -0.237 eV/atom.

The space group is Pm-3m (No. 221) and the conventional cell measures 5.199, 5.199 and 5.199 Å, with angles of 90.00, 90.00 and 90.00 degrees. The distinct sites, in fractional coordinates, are Tm at (0.000, 0.000, 0.000), Th at (0.000, 0.500, 0.500) and C at (0.000, 0.000, 0.500).

---

Number 1: total energy -0.12464 Ha/atom. Number 2: total energy -0.16840 Ha/atom. Number 3: total energy -0.09960 Ha/atom. Number 4: total energy -0.29432 Ha/atom.